Computed, not measured: a relaxed Cs3CeI7 crystal at the GGA-PBE level of DFT.

a = 13.261 Å, b = 12.064 Å, c = 9.817 Å
α = 90.00°, β = 128.06°, γ = 90.00°
Space group Cm (No. 8)
Asymmetric unit:
1 Cs 0.000 0.000 0.000 [2 per cell]
2 Cs 0.014 0.277 0.586 [4 per cell]
3 Ce 0.059 0.500 0.137 [2 per cell]
4 I 0.127 0.257 0.299 [4 per cell]
5 I 0.204 0.500 0.983 [2 per cell]
6 I 0.353 0.500 0.513 [2 per cell]
7 I 0.369 0.163 0.830 [4 per cell]
8 I 0.372 0.000 0.227 [2 per cell]

Properties
Theoretical density (g/cm3): 3.8
E_form (uncorrected) (eV per atom): -1.343
Fermi-level density of states (states/eV per atom): 0.62
Total energy (eV/atom): -3.102